Computed, not measured: GdErCu2Te4 after structural relaxation at the PBE level of DFT.

Cell and atoms, written as CIF:
```
data_GdErCu2Te4
_chemical_formula_sum 'Gd2 Er2 Cu4 Te8'
_symmetry_space_group_name_H-M 'C m m 2'
_symmetry_Int_Tables_number 35
_symmetry_space_group_name_Hall 'C 2 -2'
_cell_length_a 9.749
_cell_length_b 9.749
_cell_length_c 4.785
_cell_angle_alpha 90.00
_cell_angle_beta 90.00
_cell_angle_gamma 90.00
loop_
_atom_site_label
_atom_site_fract_x
_atom_site_fract_y
_atom_site_fract_z
Gd1 0.000 0.000 0.000
Er1 0.000 0.500 0.393
Cu1 0.250 0.250 0.194
Te1 0.000 0.203 0.475
Te2 0.199 0.500 0.918
```

## Properties
* crystal system: orthorhombic
* spin magnetization: 0.001 μB/f.u.
* energy: -4.46 eV per atom

Computed, not measured: GdErTlCu2 after structural relaxation at the PBE level of DFT.

Cell and atoms, written as CIF:
```
data_GdErTlCu2
_chemical_formula_sum 'Gd2 Er2 Tl2 Cu4'
_symmetry_space_group_name_H-M 'A m m 2'
_symmetry_Int_Tables_number 38
_symmetry_space_group_name_Hall 'A 2 -2'
_cell_length_a 3.606
_cell_length_b 4.266
_cell_length_c 14.035
_cell_angle_alpha 90.00
_cell_angle_beta 90.00
_cell_angle_gamma 90.00
loop_
_atom_site_label
_atom_site_fract_x
_atom_site_fract_y
_atom_site_fract_z
Gd1 0.000 0.000 0.000
Er1 0.000 0.000 0.269
Tl1 0.500 0.000 0.635
Cu1 0.500 0.000 0.430
Cu2 0.500 0.000 0.836
```

## Properties
* crystal system: orthorhombic
* spin magnetization: 0.009 μB/f.u.
* energy: -4.12 eV per atom

Computed, not measured: Er2CuGe after structural relaxation at the PBE level of DFT.

Cell and atoms, written as CIF:
```
data_Er2CuGe
_chemical_formula_sum 'Er4 Cu2 Ge2'
_symmetry_space_group_name_H-M 'A m m 2'
_symmetry_Int_Tables_number 38
_symmetry_space_group_name_Hall 'A 2 -2'
_cell_length_a 4.118
_cell_length_b 4.009
_cell_length_c 10.646
_cell_angle_alpha 90.00
_cell_angle_beta 90.00
_cell_angle_gamma 90.00
loop_
_atom_site_label
_atom_site_fract_x
_atom_site_fract_y
_atom_site_fract_z
Er1 0.000 0.000 0.000
Er2 0.500 0.000 0.278
Cu1 0.000 0.000 0.715
Ge1 0.500 0.000 0.562
```

## Properties
* crystal system: orthorhombic
* spin magnetization: 0.006 μB/f.u.
* energy: -4.95 eV per atom